No. 1
! TbDySc2S4, optimized geometry, DFT PBE; values from VASP
&SYSTEM
  ibrav = 0, nat = 8, ntyp = 4
/
ATOMIC_SPECIES
Tb 158.93 Tb.upf
Dy 162.50 Dy.upf
Sc 44.96 Sc.upf
S 32.06 S.upf
CELL_PARAMETERS angstrom
6.596 0.000 0.000
0.000 3.778 0.000
-2.173 0.000 6.256
ATOMIC_POSITIONS crystal
Tb 0.000 0.000 0.000
Dy 0.500 0.500 0.000
Sc 0.000 0.500 0.500
Sc 0.500 0.000 0.500
S 0.245 0.000 0.733
S 0.257 0.500 0.268
S 0.743 0.500 0.732
S 0.755 0.000 0.267
! - E_form (uncorrected): -1.92 eV per atom

No. 2
! Er6Tl2Pt, optimized geometry, DFT PBE; values from VASP
&SYSTEM
  ibrav = 0, nat = 18, ntyp = 3
/
ATOMIC_SPECIES
Er 167.26 Er.upf
Tl 204.38 Tl.upf
Pt 195.08 Pt.upf
CELL_PARAMETERS angstrom
6.128 0.000 0.000
0.000 8.493 0.000
-5.774 0.000 9.815
ATOMIC_POSITIONS crystal
Er 0.060 0.180 0.445
Er 0.060 0.320 0.945
Er 0.335 0.678 0.447
Er 0.335 0.822 0.947
Er 0.378 0.028 0.267
Er 0.378 0.472 0.767
Er 0.622 0.528 0.233
Er 0.622 0.972 0.733
Er 0.665 0.178 0.053
Er 0.665 0.322 0.553
Er 0.940 0.680 0.055
Er 0.940 0.820 0.555
Tl 0.171 0.122 0.750
Tl 0.171 0.378 0.250
Tl 0.829 0.622 0.750
Tl 0.829 0.878 0.250
Pt 0.000 0.000 0.000
Pt 0.000 0.500 0.500
! - Energy of formation from the pure elements: -327.9 kJ/mol of formula units

No. 3
! BaBiIO2, optimized geometry, DFT PBE; values from VASP
&SYSTEM
  ibrav = 0, nat = 5, ntyp = 4
/
ATOMIC_SPECIES
Ba 137.33 Ba.upf
Bi 208.98 Bi.upf
I 126.90 I.upf
O 16.00 O.upf
CELL_PARAMETERS angstrom
4.687 0.000 0.000
0.000 4.687 0.000
0.000 0.000 7.004
ATOMIC_POSITIONS crystal
Ba 0.000 0.000 0.000
Bi 0.500 0.500 0.500
I 0.000 0.000 0.500
O 0.000 0.500 0.000
O 0.500 0.000 0.000
! - E_form (uncorrected): -0.27 eV per atom

no.,D(E_F) (states/eV per cell),total moment (μB per cell),E (eV/atom)
1,5.13,0.000,-6.7243
2,19.91,0.000,-4.6166
3,8.86,0.004,-3.7289